(1)
VASP calculation (PBE) on a relaxed Sr3TlO crystal.

Cell: 7.1092 6.6302 7.4167 Å, 108.74 90.51 80.18°
Closest atoms and distances in Å follow each position.
Positions (direct):
O  0.8046  0.2595  0.3893  5 Sr 2.48-2.57
Sr  0.6012  0.0661  0.5269  2 O 2.51-2.54
Tl  0.2517  0.4739  0.8265  1 Tl 3.26, 6 Sr 3.48-3.59
Sr  0.9533  0.8689  0.1998  2 O 2.50-2.56
O  0.8954  0.7764  0.4940  5 Sr 2.49-2.54
Tl  0.4194  0.8927  0.0952  1 Tl 3.26, 5 Sr 3.36-3.61
Sr  0.7318  0.5953  0.6877  2 O 2.54-2.57
Sr  0.0991  0.4017  0.3579  2 O 2.48-2.54
Sr  0.6059  0.3630  0.1413  1 O 2.51
Sr  0.1153  0.9697  0.7220  1 O 2.49

Calculated total energy, eV per atom: -3.67

***

(2)
VASP calculation (PBE) on a relaxed SbMoS2N crystal.

Cell: 5.0638 5.0638 3.8468 Å, 90.00 90.00 90.00°
Closest atoms and distances in Å follow each position.
Positions (direct):
Sb  0.0000  0.0000  0.0000  2 N 1.92
S  0.5000  0.0000  0.0000  2 Sb 2.53
N  0.0000  0.0000  0.5000  2 Sb 1.92
S  0.0000  0.5000  0.0000  2 Sb 2.53
Mo  0.5000  0.5000  0.5000  8 S 3.18

Calculated total energy, eV per atom: -5.10

***

(3)
VASP calculation (PBE) on a relaxed Na2Nb4O11 crystal.

Cell: 6.4369 6.4369 12.9261 Å, 76.08 76.08 57.53°
Closest atoms and distances in Å follow each position.
Positions (direct):
O  0.5762  0.7518  0.9091  2 Nb 1.99-2.01
O  0.2573  0.2832  0.9078  2 Nb 1.99-2.02
Nb  0.8797  0.1324  0.7380  5 O 1.86-2.08
Nb  0.5275  0.0040  0.9930  5 O 1.88-2.02
O  0.2509  0.9724  0.7543  2 Nb 1.89-2.08
O  0.0870  0.5955  0.2223  3 Nb 2.06-2.10
Na  0.3294  0.8607  0.4883  5 O 2.40-2.61
Na  0.6644  0.1588  0.5073  6 O 2.45-2.75
O  0.5955  0.0870  0.7223  3 Nb 2.06-2.10
O  0.9724  0.2509  0.2543  2 Nb 1.89-2.08
O  0.7515  0.0234  0.2492  2 Nb 1.90-2.08
Na  0.8607  0.3294  0.9883  5 O 2.40-2.61
O  0.2438  0.4214  0.5960  2 Nb 1.98-2.01
O  0.4010  0.9130  0.2811  3 Nb 2.07-2.10
O  0.9453  0.2121  0.5899  1 Nb 1.86
O  0.7220  0.7432  0.5961  2 Nb 1.99-2.00
O  0.5220  0.4794  0.7493  3 Nb 2.08-2.19
O  0.7518  0.5762  0.4091  2 Nb 1.99-2.01
O  0.0551  0.7859  0.4134  1 Nb 1.88
Nb  0.5980  0.7530  0.7527  6 O 1.89-2.10
O  0.7432  0.7220  0.0961  2 Nb 1.99-2.00
Nb  0.4033  0.2456  0.2508  6 O 1.90-2.10
Nb  0.0040  0.5275  0.4930  5 O 1.88-2.02
Nb  0.1324  0.8797  0.2380  5 O 1.86-2.08
Nb  0.7530  0.5980  0.2527  6 O 1.89-2.10
O  0.0234  0.7515  0.7492  2 Nb 1.90-2.08
O  0.4214  0.2438  0.0960  2 Nb 1.98-2.01
O  0.9130  0.4010  0.7811  3 Nb 2.07-2.10
O  0.4794  0.5220  0.2493  3 Nb 2.08-2.19
O  0.2121  0.9453  0.0899  1 Nb 1.86
Nb  0.2456  0.4033  0.7508  6 O 1.90-2.10
O  0.7859  0.0551  0.9134  1 Nb 1.88
Na  0.1588  0.6644  0.0073  6 O 2.45-2.75
O  0.2832  0.2573  0.4078  2 Nb 1.99-2.02

Calculated total energy, eV per atom: -8.20

***

(4)
VASP calculation (PBE) on a relaxed Tm3AgHg4 crystal.

Cell: 5.1181 7.1703 10.2319 Å, 90.00 90.00 90.00°
Closest atoms and distances in Å follow each position.
Positions (direct):
Hg  0.5000  0.7449  0.5000  6 Tm 3.10-3.15, 2 Ag 3.10
Tm  0.5003  0.5000  0.2500  8 Hg 3.10
Ag  0.0000  0.5000  0.0000  8 Hg 3.10
Tm  0.0000  0.0000  0.0000  8 Hg 3.15
Hg  0.9997  0.7447  0.7500  2 Ag 3.10, 6 Tm 3.10-3.15
Hg  0.9997  0.2553  0.7500  2 Ag 3.10, 6 Tm 3.10-3.15
Hg  0.5000  0.2551  0.0000  6 Tm 3.10-3.15, 2 Ag 3.10
Hg  0.5000  0.7449  0.0000  6 Tm 3.10-3.15, 2 Ag 3.10
Tm  0.4999  0.0000  0.7500  8 Hg 3.14-3.15
Tm  0.0000  0.0000  0.5000  8 Hg 3.15
Hg  0.0003  0.2553  0.2500  2 Ag 3.10, 6 Tm 3.10-3.15
Hg  0.5000  0.2551  0.5000  6 Tm 3.10-3.15, 2 Ag 3.10
Ag  0.0000  0.5000  0.5000  8 Hg 3.10
Tm  0.5001  0.0000  0.2500  8 Hg 3.14-3.15
Hg  0.0003  0.7447  0.2500  2 Ag 3.10, 6 Tm 3.10-3.15
Tm  0.4997  0.5000  0.7500  8 Hg 3.10

Energy of formation, eV per atom: -0.3791
Calculated total energy, eV per atom: -2.56